<w>
VASP calculation (PBE) on a geometry-optimized ScFeCl2 structure.

The symmetry is No. 119.

Geometry as POSCAR:
```
ScFeCl2
1.0
-2.760 5.184 0.914
-3.503 3.053 -3.706
1.078 -5.372 2.304
Sc Fe Cl
1 1 2
Direct
0.750 0.250 0.500
0.500 0.500 0.000
0.000 0.000 0.000
0.250 0.750 0.500
```

<x>
VASP calculation (PBE) on a geometry-optimized ScFeCl2 structure.

The symmetry is No. 99.

Geometry as POSCAR:
```
ScFeCl2
1.0
-0.655 -2.848 1.206
0.556 -1.321 -2.818
8.010 -0.978 2.039
Sc Fe Cl
1 1 2
Direct
0.500 0.500 0.730
0.000 0.000 0.498
0.000 0.000 0.920
0.500 0.500 0.351
```

<y>
VASP calculation (PBE) on a geometry-optimized ScFeCl2 structure.

The symmetry is No. 8.

Geometry as POSCAR:
```
ScFeCl2
1.0
5.235 0.011 0.136
4.241 3.070 0.136
3.115 1.013 5.798
Sc Fe Cl
1 1 2
Direct
0.756 0.756 0.871
0.496 0.496 0.554
0.057 0.057 0.846
0.191 0.191 0.230
```

Which structure is the most stable? The one labeled <x>.

<w>
VASP calculation (PBE) on a geometry-optimized ScFeCl2 structure.

The symmetry is No. 160.

Geometry as POSCAR:
```
ScFeCl2
1.0
9.083 0.035 0.021
8.433 3.374 0.021
8.433 1.642 2.948
Sc Fe Cl
1 1 2
Direct
0.755 0.755 0.755
0.499 0.499 0.499
0.025 0.025 0.025
0.221 0.221 0.221
```

<x>
VASP calculation (PBE) on a geometry-optimized ScFeCl2 structure.

The symmetry is No. 225.

Geometry as POSCAR:
```
ScFeCl2
1.0
0.000 3.231 3.231
3.231 0.000 3.231
3.231 3.231 0.000
Sc Fe Cl
1 1 2
Direct
0.000 0.000 0.000
0.500 0.500 0.500
0.250 0.250 0.250
0.750 0.750 0.750
```

Which structure is the most stable? The one labeled <w>.

<w>
VASP calculation (PBE) on a geometry-optimized ScFeCl2 structure.

The symmetry is No. 65.

Geometry as POSCAR:
```
ScFeCl2
1.0
-2.279 -1.259 -2.156
3.296 0.354 -0.660
1.382 -7.463 2.897
Sc Fe Cl
1 1 2
Direct
0.500 0.500 0.750
0.500 0.500 0.250
0.000 0.000 0.015
0.000 0.000 0.485
```

<x>
VASP calculation (PBE) on a geometry-optimized ScFeCl2 structure.

The symmetry is No. 10.

Geometry as POSCAR:
```
ScFeCl2
1.0
4.088 0.000 0.000
0.000 3.501 0.021
0.000 -0.349 5.241
Sc Fe Cl
1 1 2
Direct
0.500 0.750 0.750
0.500 0.250 0.250
0.000 0.017 0.008
0.000 0.483 0.492
```

<y>
VASP calculation (PBE) on a geometry-optimized ScFeCl2 structure.

The symmetry is No. 123.

Geometry as POSCAR:
```
ScFeCl2
1.0
-1.004 -0.753 3.196
3.905 -1.682 0.831
1.384 3.877 1.348
Sc Fe Cl
1 1 2
Direct
0.500 0.000 0.500
0.500 0.500 0.000
0.000 0.000 0.000
0.000 0.500 0.500
```

Which structure is the most stable? The one labeled <x>.

<w>
VASP calculation (PBE) on a geometry-optimized ScFeCl2 structure.

The symmetry is No. 122.

Geometry as POSCAR:
```
ScFeCl2
1.0
4.456 0.000 0.000
0.000 4.456 0.000
2.228 2.228 7.624
Sc Fe Cl
2 2 4
Direct
0.500 0.500 0.000
0.250 0.750 0.500
0.000 0.000 0.000
0.750 0.250 0.500
0.645 0.125 0.250
0.105 0.625 0.250
0.375 0.355 0.750
0.875 0.895 0.750
```

<x>
VASP calculation (PBE) on a geometry-optimized ScFeCl2 structure.

The symmetry is No. 47.

Geometry as POSCAR:
```
ScFeCl2
1.0
3.132 0.000 0.000
0.000 5.745 0.000
0.000 0.000 4.073
Sc Fe Cl
1 1 2
Direct
0.000 0.500 0.500
0.500 0.000 0.500
0.000 0.000 0.000
0.500 0.500 0.000
```

<y>
VASP calculation (PBE) on a geometry-optimized ScFeCl2 structure.

The symmetry is No. 71.

Geometry as POSCAR:
```
ScFeCl2
1.0
6.716 2.013 -0.619
3.481 6.085 0.619
-4.586 -4.694 2.543
Sc Fe Cl
1 1 2
Direct
0.250 0.750 0.500
0.750 0.250 0.500
0.880 0.880 0.000
0.620 0.620 0.000
```

Which structure is the most stable? The one labeled <y>.

<w>
VASP calculation (PBE) on a geometry-optimized ScFe2Cl structure.

The symmetry is No. 44.

Geometry as POSCAR:
```
ScFe2Cl
1.0
-1.438 -2.032 4.362
1.831 -4.668 0.293
1.354 4.825 -0.335
Cl Fe Sc
1 2 1
Direct
0.220 0.720 0.500
0.002 0.002 0.000
0.789 0.289 0.500
0.490 0.490 0.000
```

<x>
VASP calculation (PBE) on a geometry-optimized ScFe2Cl structure.

The symmetry is No. 123.

Geometry as POSCAR:
```
ScFe2Cl
1.0
3.511 0.000 0.000
0.000 3.511 0.000
0.000 0.000 5.451
Cl Fe Sc
1 2 1
Direct
0.500 0.500 0.750
0.000 0.000 0.044
0.000 0.000 0.456
0.500 0.500 0.250
```

Which structure is the most stable? The one labeled <x>.

<w>
VASP calculation (PBE) on a geometry-optimized ScFe3Cl structure.

The symmetry is No. 221.

Geometry as POSCAR:
```
ScFe3Cl
1.0
-3.483 -1.075 -2.012
-1.883 -0.719 3.644
-1.288 3.958 0.115
Sc Fe Cl
1 3 1
Direct
0.500 0.500 0.500
0.000 0.500 0.000
0.000 0.000 0.500
0.500 0.000 0.000
0.000 0.000 0.000
```

<x>
VASP calculation (PBE) on a geometry-optimized ScFe3Cl structure.

The symmetry is No. 221.

Geometry as POSCAR:
```
ScFe3Cl
1.0
4.668 0.000 0.000
0.000 4.668 0.000
0.000 0.000 4.668
Sc Fe Cl
1 3 1
Direct
0.000 0.000 0.000
0.000 0.500 0.000
0.000 0.000 0.500
0.500 0.000 0.000
0.500 0.500 0.500
```

Which structure is the most stable? The one labeled <w>.